i) Below is TmZrOs after structural relaxation, with properties calculated at the PBE level.

Cell and atoms, written as CIF:
```
data_TmZrOs
_cell_length_a 9.221
_cell_length_b 9.340
_cell_length_c 13.100
_cell_angle_alpha 90.00
_cell_angle_beta 90.00
_cell_angle_gamma 90.00
_space_group_name_H-M_alt 'F d d d'
_space_group_IT_number 70
loop_
_space_group_symop_operation_xyz
'x,y,z'
'-x,-y,-z'
'-x+1/4,-y+1/4,z'
'x+1/4,y+1/4,-z'
'x,-y+1/4,-z+1/4'
'-x,y+1/4,z+1/4'
'-x+1/4,y,-z+1/4'
'x+1/4,-y,z+1/4'
'x,y+1/2,z+1/2'
'-x,-y+1/2,-z+1/2'
'-x+1/4,-y+3/4,z+1/2'
'x+1/4,y+3/4,-z+1/2'
'x,-y+3/4,-z+3/4'
'-x,y+3/4,z+3/4'
'-x+1/4,y+1/2,-z+3/4'
'x+1/4,-y+1/2,z+3/4'
'x+1/2,y,z+1/2'
'-x+1/2,-y,-z+1/2'
'-x+3/4,-y+1/4,z+1/2'
'x+3/4,y+1/4,-z+1/2'
'x+1/2,-y+1/4,-z+3/4'
'-x+1/2,y+1/4,z+3/4'
'-x+3/4,y,-z+3/4'
'x+3/4,-y,z+3/4'
'x+1/2,y+1/2,z'
'-x+1/2,-y+1/2,-z'
'-x+3/4,-y+3/4,z'
'x+3/4,y+3/4,-z'
'x+1/2,-y+3/4,-z+1/4'
'-x+1/2,y+3/4,z+1/4'
'-x+3/4,y+1/2,-z+1/4'
'x+3/4,-y+1/2,z+1/4'
loop_
_atom_site_label
_atom_site_fract_x
_atom_site_fract_y
_atom_site_fract_z
Tm1 0.125 0.125 0.251
Zr1 0.125 0.125 0.502
Os1 0.111 0.375 0.875
```

Properties
D(E_F) = 0.950 states/eV per atom
ρ = 10.6 g/cm3

=====

ii) Below is TmZrOs after structural relaxation, with properties calculated at the PBE level.

Cell and atoms, written as CIF:
```
data_TmZrOs
_cell_length_a 6.546
_cell_length_b 6.546
_cell_length_c 6.546
_cell_angle_alpha 90.00
_cell_angle_beta 90.00
_cell_angle_gamma 90.00
_space_group_name_H-M_alt 'F -4 3 m'
_space_group_IT_number 216
_space_group_name_Hall 'F -4 2 3'
loop_
_atom_site_label
_atom_site_fract_x
_atom_site_fract_y
_atom_site_fract_z
Tm1 0.000 0.000 0.000
Zr1 0.000 0.000 0.500
Os1 0.250 0.250 0.250
```

Properties
D(E_F) = 1.220 states/eV per atom
ρ = 10.7 g/cm3

=====

iii) Below is TmZrOs after structural relaxation, with properties calculated at the PBE level.

Cell and atoms, written as CIF:
```
data_TmZrOs
_cell_length_a 3.335
_cell_length_b 3.335
_cell_length_c 11.532
_cell_angle_alpha 90.00
_cell_angle_beta 90.00
_cell_angle_gamma 90.00
_space_group_name_H-M_alt 'I 4 m m'
_space_group_IT_number 107
_space_group_name_Hall 'I 4 -2'
loop_
_atom_site_label
_atom_site_fract_x
_atom_site_fract_y
_atom_site_fract_z
Tm1 0.000 0.000 0.000
Zr1 0.000 0.000 0.284
Os1 0.000 0.000 0.654
```

Properties
D(E_F) = 0.671 states/eV per atom
ρ = 11.7 g/cm3

=====

iv) Below is TmZrOs after structural relaxation, with properties calculated at the PBE level.

Cell and atoms, written as CIF:
```
data_TmZrOs
_cell_length_a 7.1186
_cell_length_b 7.1186
_cell_length_c 4.4324
_cell_angle_alpha 90.00
_cell_angle_beta 90.00
_cell_angle_gamma 120.00
_space_group_name_H-M_alt 'P -6 2 m'
_space_group_IT_number 189
_space_group_name_Hall 'P -6 -2'
loop_
_atom_site_label
_atom_site_fract_x
_atom_site_fract_y
_atom_site_fract_z
Tm1 0.0000 0.5820 0.0000
Zr1 0.0000 0.2526 0.5000
Os1 0.0000 0.0000 0.0000
Os2 0.3333 0.6667 0.5000
```

Properties
D(E_F) = 0.996 states/eV per atom
ρ = 11.5 g/cm3

=====

Most stable structure: iv)

=====

i) Below is UOs3 after structural relaxation, with properties calculated at the PBE level.

Cell and atoms, written as CIF:
```
data_UOs3
_cell_length_a 2.892
_cell_length_b 4.603
_cell_length_c 4.908
_cell_angle_alpha 90.00
_cell_angle_beta 90.00
_cell_angle_gamma 90.00
_space_group_name_H-M_alt 'P m m 2'
_space_group_IT_number 25
loop_
_space_group_symop_operation_xyz
'x,y,z'
'-x,-y,z'
'-x,y,z'
'x,-y,z'
loop_
_atom_site_label
_atom_site_fract_x
_atom_site_fract_y
_atom_site_fract_z
U1 0.000 0.000 0.000
Os1 0.000 0.500 0.629
Os2 0.500 0.000 0.502
Os3 0.500 0.500 0.115
```

Properties
D(E_F) = 0.970 states/eV per atom
ρ = 20.6 g/cm3

=====

ii) Below is UOs3 after structural relaxation, with properties calculated at the PBE level.

Cell and atoms, written as CIF:
```
data_UOs3
_cell_length_a 4.037
_cell_length_b 4.037
_cell_length_c 8.074
_cell_angle_alpha 90.00
_cell_angle_beta 90.00
_cell_angle_gamma 90.00
_space_group_name_H-M_alt 'I 4/m m m'
_space_group_IT_number 139
_space_group_name_Hall '-I 4 2'
loop_
_atom_site_label
_atom_site_fract_x
_atom_site_fract_y
_atom_site_fract_z
U1 0.000 0.000 0.000
Os1 0.000 0.000 0.500
Os2 0.000 0.500 0.250
```

Properties
D(E_F) = 1.153 states/eV per atom
ρ = 20.4 g/cm3

=====

Most stable structure: ii)